DFT (SCAN) results for a crystal of KNiCl2 relaxed with PBEsol.

abc: 3.848 3.848 6.726
angles: 106.62 106.62 90.00
Each line ends with the local moment (μB).
Positions (direct):
Cl (0.750, 0.250, 0.500)  0.03
Ni (0.250, 0.750, 0.500)  1.01
Cl (0.000, 0.000, 0.000)  -0.01
K (0.500, 0.500, 0.000)  0.00

Output
The volume is 22.77 Å³ per atom. The calculation puts the uncorrected formation energy at -0.741 eV per atom. The density of states at the Fermi level comes out at 2.1 states/eV/f.u.

DFT (SCAN) results for a crystal of NaY2ScSn relaxed with PBEsol.

abc: 5.437 5.763 5.763
angles: 90.00 90.00 90.00
Each line ends with the local moment (μB).
Positions (direct):
Sc (0.500, 0.000, 0.000)  0.52
Na (0.500, 0.500, 0.500)  0.01
Y (0.000, 0.000, 0.500)  0.41
Sn (0.000, 0.000, 0.000)  0.01
Y (0.000, 0.500, 0.000)  0.41

Output
The volume is 36.12 Å³ per atom. The calculation puts the formation energy from the elements at 179 meV/atom. The density of states at the Fermi level comes out at 5.2 states/eV/f.u.

DFT (SCAN) results for a crystal of CrSi2Ru relaxed with PBEsol.

abc: 2.748 4.149 4.308
angles: 90.00 90.00 90.00
Positions (direct):
Ru (0.500, 0.725, 0.500)
Cr (0.000, 0.524, 0.000)
Si (0.500, 0.036, 0.000)
Si (0.000, 0.215, 0.500)

Output
The volume is 12.28 Å³ per atom. The calculation puts the uncorrected formation energy at -0.245 eV per atom. The density of states at the Fermi level comes out at 3.0 states/eV/f.u.